1.
A plane-wave DFT calculation with GGA-PBE was carried out for an optimized crystal structure of Pd3RuC.

Calculated values
Energy in eV for the cell shown: -21.50
Formation energy from the elements in eV/f.u.: 12.579
Space group: Pm-3m
Total moment in μB/f.u.: 2.48

Cell and atoms, written as POSCAR:
```
Pd3RuC
1.0
-3.890 2.694 0.655
-2.756 -3.880 -0.413
0.299 -0.715 4.714
Ru C Pd
1 1 3
direct
0.000 0.000 0.000 Ru
0.500 0.500 0.500 C
0.000 0.500 0.000 Pd
0.000 0.000 0.500 Pd
0.500 0.000 0.000 Pd
```

=====

2.
A plane-wave DFT calculation with GGA-PBE was carried out for an optimized crystal structure of BaCaMoPd2.

Calculated values
Energy in eV for the cell shown: -23.14
Formation energy from the elements in eV/f.u.: 2.005
Space group: P4/mmm
Total moment in μB/f.u.: 0.00

Cell and atoms, written as POSCAR:
```
BaCaMoPd2
1.0
-4.178 -0.293 2.851
-0.051 -5.186 -0.606
2.866 -0.513 4.147
Mo Ca Ba Pd
1 1 1 2
direct
0.000 0.000 0.000 Mo
0.000 0.500 0.000 Ca
0.500 0.500 0.500 Ba
0.000 0.000 0.500 Pd
0.500 0.000 0.000 Pd
```

=====

3.
A plane-wave DFT calculation with GGA-PBE was carried out for an optimized crystal structure of Sr2EuPd.

Calculated values
Energy in eV for the cell shown: -19.51
Formation energy from the elements in eV/f.u.: -0.678
Space group: R-3m
Total moment in μB/f.u.: 7.77

Cell and atoms, written as POSCAR:
```
Sr2EuPd
1.0
4.178 0.000 0.000
2.089 3.618 0.000
2.089 1.206 11.460
Eu Sr Pd
1 2 1
direct
0.000 0.000 0.000 Eu
0.114 0.114 0.657 Sr
0.886 0.886 0.343 Sr
0.500 0.500 0.500 Pd
```

=====

4.
A plane-wave DFT calculation with GGA-PBE was carried out for an optimized crystal structure of BaGePt3.

Calculated values
Energy in eV for the cell shown: -53.08
Formation energy from the elements in eV/f.u.: -1.876
Space group: Cmmm
Total moment in μB/f.u.: 0.00

Cell and atoms, written as POSCAR:
```
BaGePt3
1.0
-3.426 -0.259 3.498
0.084 -6.049 -0.366
5.529 -0.250 5.398
Ba Ge Pt
2 2 6
direct
0.500 0.000 0.000 Ba
0.500 0.500 0.500 Ba
0.000 0.500 0.000 Ge
0.000 0.000 0.500 Ge
0.500 0.500 0.000 Pt
0.500 0.000 0.500 Pt
0.000 0.750 0.250 Pt
0.000 0.250 0.250 Pt
0.000 0.250 0.750 Pt
0.000 0.750 0.750 Pt
```

=====

5.
A plane-wave DFT calculation with GGA-PBE was carried out for an optimized crystal structure of Hf2TlZnCr.

Calculated values
Energy in eV for the cell shown: -25.77
Formation energy from the elements in eV/f.u.: 7.400
Space group: P4/mmm
Total moment in μB/f.u.: 3.28

Cell and atoms, written as POSCAR:
```
Hf2TlZnCr
1.0
-1.695 4.905 -1.090
-3.890 -1.888 -2.449
-2.831 0.019 4.484
Cr Tl Hf Zn
1 1 2 1
direct
0.000 0.500 0.000 Cr
0.000 0.000 0.000 Tl
0.000 0.000 0.500 Hf
0.500 0.000 0.000 Hf
0.500 0.500 0.500 Zn
```

=====

6.
A plane-wave DFT calculation with GGA-PBE was carried out for an optimized crystal structure of CaPmOs4.

Calculated values
Energy in eV for the cell shown: -51.65
Formation energy from the elements in eV/f.u.: 0.025
Space group: F-43m
Total moment in μB/f.u.: 0.00

Cell and atoms, written as POSCAR:
```
CaPmOs4
1.0
5.392 0.000 0.000
2.696 4.669 0.000
2.696 1.556 4.402
Ca Os Pm
1 4 1
direct
0.000 0.000 0.000 Ca
0.625 0.625 0.124 Os
0.625 0.124 0.625 Os
0.625 0.625 0.625 Os
0.124 0.625 0.625 Os
0.250 0.250 0.250 Pm
```

=====

7.
A plane-wave DFT calculation with GGA-PBE was carried out for an optimized crystal structure of Be3CdTc.

Calculated values
Energy in eV for the cell shown: -15.22
Formation energy from the elements in eV/f.u.: 7.241
Space group: Pm-3m
Total moment in μB/f.u.: 2.11

Cell and atoms, written as POSCAR:
```
Be3CdTc
1.0
4.235 0.000 0.000
0.000 4.235 0.000
0.000 0.000 4.235
Be Tc Cd
3 1 1
direct
0.000 0.500 0.000 Be
0.000 0.000 0.500 Be
0.500 0.000 0.000 Be
0.500 0.500 0.500 Tc
0.000 0.000 0.000 Cd
```

=====

8.
A plane-wave DFT calculation with GGA-PBE was carried out for an optimized crystal structure of CeEr2Tl.

Calculated values
Energy in eV for the cell shown: -17.27
Formation energy from the elements in eV/f.u.: 0.155
Space group: Fm-3m
Total moment in μB/f.u.: 0.65

Cell and atoms, written as POSCAR:
```
CeEr2Tl
1.0
5.372 0.000 0.000
2.686 4.652 0.000
2.686 1.551 4.386
Tl Ce Er
1 1 2
direct
0.000 0.000 0.000 Tl
0.500 0.500 0.500 Ce
0.250 0.250 0.250 Er
0.750 0.750 0.750 Er
```

=====

Q: The highest total moment belongs to which entry?
A: Sr2EuPd